! NpCdGaO6, optimized geometry, DFT PBE-GGA; values from VASP
! * total DFT energy (no corrections): -7.108 eV per atom
! * space group: P-31c
! * formation energy (no corrections): -1927 meV per atom
&SYSTEM
  ibrav = 0, nat = 18, ntyp = 4
/
ATOMIC_SPECIES
Ga 69.72 Ga.upf
O 16.00 O.upf
Np 237.00 Np.upf
Cd 112.41 Cd.upf
CELL_PARAMETERS angstrom
5.3229 0.0000 0.0000
-2.6614 4.6097 0.0000
0.0000 0.0000 9.8129
ATOMIC_POSITIONS angstrom
Ga 0.0000 3.0732 7.3597
O 1.7190 2.9511 1.3688
Np 0.0000 3.0732 2.4532
Cd 0.0000 0.0000 0.0000
O 1.9077 0.0131 1.3688
O 0.7538 4.5966 8.4441
Np 2.6614 1.5366 7.3597
O 3.4152 0.0131 3.5376
O 1.6962 2.9642 6.2753
O -1.6962 2.9642 8.4441
O 0.9425 1.6586 8.4441
O 3.6039 2.9511 3.5376
Ga 2.6614 1.5366 2.4532
O -0.7538 4.5966 6.2753
Cd 0.0000 0.0000 4.9064
O 0.9652 1.6455 3.5376
O -0.9425 1.6586 6.2753
O 4.3577 1.6455 1.3688

***

! HfCu6, optimized geometry, DFT PBE-GGA; values from VASP
! * energy relative to the elements: -0.040 eV per atom
! * total DFT energy (no corrections): -4.973 eV per atom
! * space group: Pnma
&SYSTEM
  ibrav = 0, nat = 28, ntyp = 2
/
ATOMIC_SPECIES
Cu 63.55 Cu.upf
Hf 178.49 Hf.upf
CELL_PARAMETERS angstrom
4.8466 0.0000 0.0000
0.0000 7.8323 0.0000
0.0000 0.0000 9.9330
ATOMIC_POSITIONS angstrom
Cu 2.4568 4.4166 8.0203
Cu 4.8130 4.4166 8.0203
Cu 2.3897 7.3319 3.0538
Cu 2.3897 3.4157 1.9127
Cu 1.2116 4.3329 5.8032
Cu 4.8130 0.5004 6.8792
Cu 3.6349 1.4731 2.4397
Cu 1.2116 1.1160 1.4631
Cu 1.2116 3.1334 9.7669
Cu 0.0335 7.3319 3.0538
Cu 3.6349 4.6989 0.1661
Cu 3.6349 3.4994 4.1298
Cu 3.6349 2.8001 6.4296
Cu 1.2116 6.3593 7.4933
Cu 3.6349 5.3892 2.5268
Cu 2.4568 0.5004 6.8792
Hf 1.2116 5.9190 0.7628
Cu 1.2116 7.0495 5.1326
Cu 3.6349 0.7828 4.8004
Hf 1.2116 2.0028 4.2037
Cu 3.6349 6.7163 8.4699
Cu 1.2116 0.4167 9.0963
Hf 3.6349 1.9134 9.1702
Cu 3.6349 7.4156 0.8367
Hf 3.6349 5.8295 5.7293
Cu 1.2116 5.0322 3.5034
Cu 1.2116 2.4431 7.4062
Cu 0.0335 3.4157 1.9127

***

! Pr4InCo, optimized geometry, DFT PBE-GGA; values from VASP
! * energy relative to the elements: -0.219 eV per atom
! * total DFT energy (no corrections): -5.046 eV per atom
! * space group: F-43m
! * distance to the lowest polymorph of the same formula: 0.000 eV per atom
&SYSTEM
  ibrav = 0, nat = 24, ntyp = 3
/
ATOMIC_SPECIES
Co 58.93 Co.upf
Pr 140.91 Pr.upf
In 114.82 In.upf
CELL_PARAMETERS angstrom
-8.5049 4.9141 -1.4293
-7.0457 -0.1363 6.9903
-1.9392 8.1961 5.2524
ATOMIC_POSITIONS angstrom
Co -6.9354 5.7554 7.2163
Pr -12.4686 7.2017 8.7146
Pr -10.3443 7.1335 3.8073
Pr -13.0257 9.1299 5.5001
Co -9.8104 4.3182 4.2905
Pr -15.7158 9.0779 8.1689
Pr -8.8937 7.4621 9.6449
Pr -13.2090 10.3310 10.7200
Co -10.6596 7.9073 6.5905
Pr -9.7984 10.5932 4.4249
Pr -12.9643 5.4273 5.5023
In -3.5911 4.8338 3.5219
Pr -7.6914 2.3807 6.3885
Pr -13.7661 12.2592 7.5054
In -5.6994 3.7799 1.3763
Pr -7.8032 8.4038 6.3932
Pr -9.7795 5.1789 7.0658
Pr -10.5190 10.3830 8.0511
Pr -7.0527 5.2317 4.3604
In -5.2309 2.1582 4.0799
Pr -8.5961 5.5118 1.1685
In -2.9684 2.2020 1.8353
Co -7.5743 7.9669 3.5295
Pr -4.5255 7.5466 5.3110

***

! DyScTlCd, optimized geometry, DFT PBE-GGA; values from VASP
! * energy relative to the elements: -0.306 eV per atom
! * total DFT energy (no corrections): -3.860 eV per atom
! * space group: F-43m
&SYSTEM
  ibrav = 0, nat = 4, ntyp = 4
/
ATOMIC_SPECIES
Dy 162.50 Dy.upf
Sc 44.96 Sc.upf
Tl 204.38 Tl.upf
Cd 112.41 Cd.upf
CELL_PARAMETERS angstrom
5.1897 0.0000 0.0000
2.5949 4.4944 0.0000
2.5949 1.4981 4.2374
ATOMIC_POSITIONS angstrom
Dy 5.1897 2.9963 2.1187
Sc 0.0000 0.0000 0.0000
Tl 2.5949 1.4981 1.0593
Cd 7.7846 4.4944 3.1780

***

! MgAg2Cl, optimized geometry, DFT PBE-GGA; values from VASP
! * total DFT energy (no corrections): -2.155 eV per atom
! * space group: Fm-3m
! * formation energy (no corrections): 131 meV per atom
! * distance to the lowest polymorph of the same formula: 0.539 eV per atom
&SYSTEM
  ibrav = 0, nat = 4, ntyp = 3
/
ATOMIC_SPECIES
Mg 24.30 Mg.upf
Ag 107.87 Ag.upf
Cl 35.45 Cl.upf
CELL_PARAMETERS angstrom
0.0000 3.4906 3.4906
3.4906 0.0000 3.4906
3.4906 3.4906 0.0000
ATOMIC_POSITIONS angstrom
Mg 0.0000 0.0000 0.0000
Ag 1.7453 1.7453 1.7453
Ag 5.2359 5.2359 5.2359
Cl 3.4906 3.4906 3.4906

***

! FeTc2Pt, optimized geometry, DFT PBE-GGA; values from VASP
! * energy relative to the elements: -0.025 eV per atom
! * total DFT energy (no corrections): -8.834 eV per atom
! * space group: R3m
! * distance to the lowest polymorph of the same formula: 0.033 eV per atom
&SYSTEM
  ibrav = 0, nat = 4, ntyp = 3
/
ATOMIC_SPECIES
Pt 195.08 Pt.upf
Tc 98.00 Tc.upf
Fe 55.84 Fe.upf
CELL_PARAMETERS angstrom
9.0463 0.0105 0.0062
8.6312 2.7089 0.0062
8.6312 1.3278 2.3611
ATOMIC_POSITIONS angstrom
Pt 19.8013 3.0461 1.7864
Tc 6.5919 1.0141 0.5947
Fe 13.1654 2.0253 1.1877
Tc 26.2134 4.0325 2.3649

***

! CaSi2PdO6, optimized geometry, DFT PBE-GGA; values from VASP
! * total DFT energy (no corrections): -7.063 eV per atom
! * space group: C2/c
! * formation energy (no corrections): -2284 meV per atom
&SYSTEM
  ibrav = 0, nat = 20, ntyp = 4
/
ATOMIC_SPECIES
O 16.00 O.upf
Si 28.09 Si.upf
Ca 40.08 Ca.upf
Pd 106.42 Pd.upf
CELL_PARAMETERS angstrom
-0.4456 2.4398 -4.9066
5.1041 -3.0081 -4.0467
-4.5611 -4.1071 -3.7153
ATOMIC_POSITIONS angstrom
O -0.1843 -0.2700 -7.1285
Si -0.7592 -3.1315 -9.4168
O 0.1167 -3.1789 -7.9953
O 1.2240 -5.6453 -7.6747
O 0.2817 -4.4054 -5.5400
O -2.2540 -2.5677 -9.0494
Ca -3.8521 -2.1586 -7.4310
Si 1.0265 -4.1737 -7.0171
Ca 3.9494 -2.5168 -5.2375
O 2.3513 -2.1077 -3.6191
Si -0.9291 -0.5017 -5.6514
O 2.3781 -3.2862 -6.7473
O -1.1267 0.9699 -4.9939
O 0.7630 -0.0604 -2.5978
O -2.2807 -1.3892 -5.9213
Si 0.8565 -1.5439 -3.2517
O -0.6656 -4.6150 -10.0708
O -0.0194 -1.4965 -4.6733
Pd -2.0334 -3.1971 -5.0325
Pd 2.1307 -1.4783 -7.6361

***

! YCrTc2Sb, optimized geometry, DFT PBE-GGA; values from VASP
! * total DFT energy (no corrections): -7.527 eV per atom
! * space group: P4/mmm
! * formation energy (no corrections): 661 meV per atom
&SYSTEM
  ibrav = 0, nat = 5, ntyp = 4
/
ATOMIC_SPECIES
Tc 98.00 Tc.upf
Y 88.91 Y.upf
Sb 121.76 Sb.upf
Cr 52.00 Cr.upf
CELL_PARAMETERS angstrom
4.4921 0.0000 0.0000
0.0000 5.1484 0.0000
0.0000 0.0000 4.4921
ATOMIC_POSITIONS angstrom
Tc 0.0000 0.0000 2.2460
Y 0.0000 2.5742 0.0000
Sb 2.2460 2.5742 2.2460
Cr 0.0000 0.0000 0.0000
Tc 2.2460 0.0000 0.0000